1.
DFT (meta-GGA SCAN) results for a crystal of CaVP2O7 relaxed with PBEsol.

The calculation puts the total magnetization at 6.00 Bohr magnetons per cell. The value obtained for the formation energy (no corrections) is -2956 kJ/mol of formula units. The total energy is -11.109 eV per atom.

The space group is P-1 (No. 2) and the conventional cell measures 6.4443, 6.5588 and 6.6075 Å, with angles of 66.15, 87.82 and 82.64 degrees. The distinct sites, in fractional coordinates, are Ca at (0.1330, 0.2350, 0.3187), V at (0.3475, 0.3981, 0.7215), P at (0.1456, 0.7350, 0.2451), P at (0.3733, 0.8605, 0.8244), O at (0.0239, 0.3892, 0.7958), O at (0.0673, 0.8862, 0.3602), O at (0.2293, 0.8986, 0.0158), O at (0.2657, 0.7038, 0.7570), O at (0.3313, 0.5535, 0.3643), O at (0.3719, 0.1007, 0.6485) and O at (0.4089, 0.2440, 0.0711).

---

2.
DFT (meta-GGA SCAN) results for a crystal of CaTl2Re relaxed with PBEsol.

The formation energy comes out at 0.94 eV per atom. The calculation puts the total magnetization at 0.00 Bohr magnetons per cell. The total energy is -55.431 eV per atom.

The space group is F-43m (No. 216) and the conventional cell measures 7.0415, 7.0415 and 7.0415 Å, with angles of 90.00, 90.00 and 90.00 degrees. The distinct sites, in fractional coordinates, are Ca at (0.0000, 0.0000, 0.0000), Tl at (0.0000, 0.0000, 0.5000), Tl at (0.2500, 0.2500, 0.7500) and Re at (0.2500, 0.2500, 0.2500).

---

3.
DFT (meta-GGA SCAN) results for a crystal of ZrHCl relaxed with PBEsol.

The calculation puts the total magnetization at 0.00 Bohr magnetons per cell. The total energy is -15.234 eV per atom.

The space group is P-3m1 (No. 164) and the conventional cell measures 3.2911, 3.2911 and 9.5801 Å, with angles of 90.00, 90.00 and 120.00 degrees. The distinct sites, in fractional coordinates, are Zr at (0.3333, 0.6667, 0.1540), H at (0.3333, 0.6667, 0.9418) and Cl at (0.3333, 0.6667, 0.6635).

---

4.
DFT (meta-GGA SCAN) results for a crystal of Sc5Tl relaxed with PBEsol.

The formation energy comes out at -0.16 eV per atom. The calculation puts the total magnetization at 0.00 Bohr magnetons per cell. The total energy is -24.079 eV per atom. The excess energy over the best structure of this formula in the dataset is 0.064 eV/atom.

The space group is Amm2 (No. 38) and the conventional cell measures 4.9950, 3.3183 and 16.6213 Å, with angles of 90.00, 90.00 and 90.00 degrees. The distinct sites, in fractional coordinates, are Sc at (0.0000, 0.0000, 0.0000), Sc at (0.0000, 0.0000, 0.3233), Sc at (0.0000, 0.0000, 0.6623), Sc at (0.5000, 0.0000, 0.1114), Sc at (0.5000, 0.0000, 0.4469) and Tl at (0.5000, 0.0000, 0.7743).

---

Question: Look up the total energy of the third one.
Answer: -15.234 eV per atom